Entry 1:
The following is a DFT calculation (PBE-GGA) of an optimized crystal structure of LaMnTl2.

The structure in extended XYZ format:
```
4
Lattice="-1.6551 3.2246 -0.7042 -3.6982 -1.2359 3.0329 1.0323 1.8499 6.0448" Properties=species:S:1:pos:R:3 pbc="T T T"
Tl -2.9149 -0.9274 2.6047
Tl -1.4192 1.7088 1.4806
La -1.2555 0.4944 5.2150
Mn -3.7627 1.6337 6.6449
```

Output
Its magnetization is 3.1 μB per cell. For the mass density, the calculation gives 9.3 g/cm³. The calculation puts the formation energy at 0.164 eV/atom. Its space group is Amm2, No. 38.

Entry 2:
The following is a DFT calculation (PBE-GGA) of an optimized crystal structure of Tb2PrTlN.

The structure in extended XYZ format:
```
5
Lattice="5.0701 0.0000 0.0000 0.0000 4.8693 0.0000 0.0000 0.0000 4.8693" Properties=species:S:1:pos:R:3 pbc="T T T"
Tb 0.0000 2.4346 0.0000
Tb 0.0000 0.0000 2.4346
Pr 2.5350 0.0000 0.0000
Tl 2.5350 2.4346 2.4346
N 0.0000 0.0000 0.0000
```

Output
Its magnetization is 0.0 μB per cell. For the mass density, the calculation gives 9.4 g/cm³. Its space group is P4/mmm, No. 123.

Entry 3:
The following is a DFT calculation (PBE-GGA) of an optimized crystal structure of Be2FeCo2.

The structure in extended XYZ format:
```
5
Lattice="2.4591 0.0000 0.0000 0.0000 2.4211 0.4587 0.0000 -0.2888 8.1425" Properties=species:S:1:pos:R:3 pbc="T T T"
Fe 0.0000 0.0000 0.0000
Be 1.2295 1.2124 6.8380
Be 1.2295 0.9199 1.7632
Co 0.0000 0.2757 5.1631
Co 0.0000 1.8566 3.4382
```

Output
Its magnetization is 4.4 μB per cell. For the mass density, the calculation gives 6.5 g/cm³. The calculation puts the formation energy at -0.035 eV/atom. Its space group is Cmmm, No. 65.

Entry 4:
The following is a DFT calculation (PBE-GGA) of an optimized crystal structure of LiZnCo.

The structure in extended XYZ format:
```
3
Lattice="6.3304 0.0400 0.0000 5.2948 3.4699 0.0000 -5.8126 -1.7550 1.7914" Properties=species:S:1:pos:R:3 pbc="T T T"
Co 0.0314 0.0095 0.0000
Zn 7.6540 2.3110 0.0000
Li 3.9398 1.1895 0.0000
```

Output
Its magnetization is 1.4 μB per cell. For the mass density, the calculation gives 5.6 g/cm³. The calculation puts the formation energy at 0.062 eV/atom. Its space group is I4mm, No. 107.

Entry 5:
The following is a DFT calculation (PBE-GGA) of an optimized crystal structure of BaLi3Cd4.

The structure in extended XYZ format:
```
8
Lattice="-4.6798 -0.8201 -0.5504 -1.5047 -4.1935 -1.7396 -2.5077 -5.3736 8.5475" Properties=species:S:1:pos:R:3 pbc="T T T"
Cd -6.3620 -6.4865 1.4142
Cd -2.3302 -3.9007 4.8433
Cd -4.4670 -6.1969 5.6518
Cd -4.2252 -4.1903 0.6057
Li -4.3461 -5.1936 3.1288
Li -6.4920 -7.5650 4.1264
Li -2.2002 -2.8221 2.1311
Ba 0.0000 0.0000 0.0000
```

Output
Its magnetization is 0.0 μB per cell. For the mass density, the calculation gives 5.1 g/cm³. The calculation puts the formation energy at -0.231 eV/atom. Its space group is R-3m, No. 166.

Entry 6:
The following is a DFT calculation (PBE-GGA) of an optimized crystal structure of ScSnCl2.

The structure in extended XYZ format:
```
4
Lattice="-5.9893 -5.1987 7.7434 -2.8806 -6.3516 8.6150 -3.9801 -3.3266 9.7955" Properties=species:S:1:pos:R:3 pbc="T T T"
Cl -1.5084 -1.7463 3.0701
Cl -11.3416 -13.1307 23.0839
Sn 0.0000 0.0000 0.0000
Sc -6.4250 -7.4385 13.0770
```

Output
Its magnetization is 0.0 μB per cell. For the mass density, the calculation gives 3.5 g/cm³. Its space group is R-3m, No. 166.

Entry 7:
The following is a DFT calculation (PBE-GGA) of an optimized crystal structure of Ca3Y.

The structure in extended XYZ format:
```
4
Lattice="6.5990 -0.0483 0.0000 2.2334 6.2097 0.0000 -4.4162 -3.0807 3.8151" Properties=species:S:1:pos:R:3 pbc="T T T"
Ca 4.4162 3.0807 0.0000
Ca 3.2995 -0.0241 1.9076
Ca 1.1167 3.1049 1.9076
Y 0.0000 0.0000 0.0000
```

Output
Its magnetization is 0.0 μB per cell. For the mass density, the calculation gives 2.2 g/cm³. The calculation puts the formation energy at 0.130 eV/atom. Its space group is I4/mmm, No. 139.

Entry 8:
The following is a DFT calculation (PBE-GGA) of an optimized crystal structure of Y6ErTl.

The structure in extended XYZ format:
```
8
Lattice="9.2493 0.0482 0.3255 4.5970 7.3122 -0.1830 4.4848 2.3779 3.7814" Properties=species:S:1:pos:R:3 pbc="T T T"
Y 12.5403 4.6257 1.1506
Y 14.7268 8.8301 2.8384
Y 6.9518 2.2171 0.8025
Y 3.6043 0.9083 1.0855
Y 11.3793 7.5213 3.1214
Y 5.7908 5.1127 2.7733
Er 9.1655 4.8692 1.9619
Tl 0.0000 0.0000 0.0000
```

Output
Its magnetization is 0.0 μB per cell. For the mass density, the calculation gives 6.0 g/cm³. The calculation puts the formation energy at 0.004 eV/atom. Its space group is R-3, No. 148.

Number 1: raw total energy -0.1670 Ha/atom. Number 2: raw total energy -0.2136 Ha/atom. Number 3: raw total energy -0.2227 Ha/atom. Number 4: raw total energy -0.1238 Ha/atom. Number 5: raw total energy -0.0605 Ha/atom. Number 6: raw total energy -0.1738 Ha/atom. Number 7: raw total energy -0.1098 Ha/atom. Number 8: raw total energy -0.2098 Ha/atom.